(1)
VASP calculation (GGA-PBE) on NdGe6S8 after structural relaxation.

Cell and atoms, written as CIF:
```
data_NdGe6S8
_symmetry_space_group_name_H-M 'R -3'
_symmetry_Int_Tables_number 148
_symmetry_space_group_name_Hall '-R 3'
_cell_length_a 9.7347
_cell_length_b 9.7347
_cell_length_c 12.7863
_cell_angle_alpha 90.00
_cell_angle_beta 90.00
_cell_angle_gamma 120.00
loop_
_atom_site_label
_atom_site_type_symbol
_atom_site_fract_x
_atom_site_fract_y
_atom_site_fract_z
_atom_site_occupancy
Nd1 Nd 0.0000 0.0000 0.0000 1
Ge1 Ge 0.0357 0.2132 0.6188 1
S1 S 0.0000 0.0000 0.2541 1
S2 S 0.0157 0.2918 0.0815 1
```

Output
raw formation energy	-0.4268	eV per atom

(2)
VASP calculation (GGA-PBE) on Nd8GeS5 after structural relaxation.

Cell and atoms, written as CIF:
```
data_Nd8GeS5
_symmetry_space_group_name_H-M 'I -4'
_symmetry_Int_Tables_number 82
_symmetry_space_group_name_Hall 'I -4'
_cell_length_a 9.793
_cell_length_b 9.793
_cell_length_c 7.726
_cell_angle_alpha 90.00
_cell_angle_beta 90.00
_cell_angle_gamma 90.00
loop_
_atom_site_label
_atom_site_type_symbol
_atom_site_fract_x
_atom_site_fract_y
_atom_site_fract_z
_atom_site_occupancy
Nd1 Nd 0.042 0.288 0.105 1
Nd2 Nd 0.043 0.211 0.649 1
Ge1 Ge 0.000 0.000 0.000 1
S1 S 0.000 0.500 0.750 1
S2 S 0.229 0.249 0.376 1
```

Output
raw formation energy	-1.4585	eV per atom

(3)
VASP calculation (GGA-PBE) on NdGe2S6 after structural relaxation.

Cell and atoms, written as CIF:
```
data_NdGe2S6
_symmetry_space_group_name_H-M 'C 1 2/c 1'
_symmetry_Int_Tables_number 15
_symmetry_space_group_name_Hall '-C 2yc'
_cell_length_a 12.403
_cell_length_b 11.163
_cell_length_c 6.533
_cell_angle_alpha 90.00
_cell_angle_beta 107.50
_cell_angle_gamma 90.00
loop_
_atom_site_label
_atom_site_type_symbol
_atom_site_fract_x
_atom_site_fract_y
_atom_site_fract_z
_atom_site_occupancy
Nd1 Nd 0.000 0.157 0.250 1
Ge1 Ge 0.202 0.432 0.223 1
S1 S 0.111 0.059 0.663 1
S2 S 0.132 0.406 0.501 1
S3 S 0.139 0.274 0.017 1
```

Output
raw formation energy	-0.6121	eV per atom

(4)
VASP calculation (GGA-PBE) on Nd6GeS5 after structural relaxation.

Cell and atoms, written as CIF:
```
data_Nd6GeS5
_symmetry_space_group_name_H-M 'C 1 2/m 1'
_symmetry_Int_Tables_number 12
_symmetry_space_group_name_Hall '-C 2y'
_cell_length_a 7.120
_cell_length_b 12.333
_cell_length_c 7.146
_cell_angle_alpha 90.00
_cell_angle_beta 109.33
_cell_angle_gamma 90.00
loop_
_atom_site_label
_atom_site_type_symbol
_atom_site_fract_x
_atom_site_fract_y
_atom_site_fract_z
_atom_site_occupancy
Nd1 Nd 0.249 0.000 0.249 1
Nd2 Nd 0.250 0.167 0.750 1
Ge1 Ge 0.000 0.500 0.000 1
S1 S 0.000 0.000 0.500 1
S2 S 0.000 0.167 0.000 1
S3 S 0.000 0.335 0.500 1
```

Output
raw formation energy	-1.8608	eV per atom

(5)
VASP calculation (GGA-PBE) on Nd5GeS4 after structural relaxation.

Cell and atoms, written as CIF:
```
data_Nd5GeS4
_symmetry_space_group_name_H-M 'I 4/m'
_symmetry_Int_Tables_number 87
_symmetry_space_group_name_Hall '-I 4'
_cell_length_a 9.233
_cell_length_b 9.233
_cell_length_c 5.819
_cell_angle_alpha 90.00
_cell_angle_beta 90.00
_cell_angle_gamma 90.00
loop_
_atom_site_label
_atom_site_type_symbol
_atom_site_fract_x
_atom_site_fract_y
_atom_site_fract_z
_atom_site_occupancy
Nd1 Nd 0.000 0.000 0.000 1
Nd2 Nd 0.100 0.301 0.500 1
Ge1 Ge 0.000 0.000 0.500 1
S1 S 0.102 0.300 0.000 1
```

Output
raw formation energy	-1.8281	eV per atom

(6)
VASP calculation (GGA-PBE) on Nd2GeS after structural relaxation.

Cell and atoms, written as CIF:
```
data_Nd2GeS
_symmetry_space_group_name_H-M 'C 1 2/c 1'
_symmetry_Int_Tables_number 15
_symmetry_space_group_name_Hall '-C 2yc'
_cell_length_a 8.414
_cell_length_b 16.708
_cell_length_c 7.271
_cell_angle_alpha 90.00
_cell_angle_beta 125.03
_cell_angle_gamma 90.00
loop_
_atom_site_label
_atom_site_type_symbol
_atom_site_fract_x
_atom_site_fract_y
_atom_site_fract_z
_atom_site_occupancy
Nd1 Nd 0.245 0.063 0.247 1
Nd2 Nd 0.249 0.188 0.747 1
Ge1 Ge 0.000 0.312 0.750 1
Ge2 Ge 0.000 0.437 0.250 1
S1 S 0.000 0.062 0.750 1
S2 S 0.000 0.187 0.250 1
```

Output
relative energy among the computed polymorphs	0.0	meV/atom
raw formation energy	-1.4637	eV per atom

(7)
VASP calculation (GGA-PBE) on Nd2GeS5 after structural relaxation.

Cell and atoms, written as CIF:
```
data_Nd2GeS5
_symmetry_space_group_name_H-M 'P 1 21/c 1'
_symmetry_Int_Tables_number 14
_symmetry_space_group_name_Hall '-P 2ybc'
_cell_length_a 11.620
_cell_length_b 8.554
_cell_length_c 8.550
_cell_angle_alpha 90.00
_cell_angle_beta 108.24
_cell_angle_gamma 90.00
loop_
_atom_site_label
_atom_site_type_symbol
_atom_site_fract_x
_atom_site_fract_y
_atom_site_fract_z
_atom_site_occupancy
Nd1 Nd 0.036 0.125 0.232 1
Nd2 Nd 0.373 0.133 0.047 1
Ge1 Ge 0.306 0.588 0.028 1
S1 S 0.108 0.617 0.998 1
S2 S 0.112 0.116 0.941 1
S3 S 0.294 0.098 0.332 1
S4 S 0.374 0.698 0.446 1
S5 S 0.423 0.061 0.734 1
```

Output
relative energy among the computed polymorphs	0.0	meV/atom
raw formation energy	-1.3930	eV per atom

(8)
VASP calculation (GGA-PBE) on Nd2GeS after structural relaxation.

Cell and atoms, written as CIF:
```
data_Nd2GeS
_symmetry_space_group_name_H-M 'R -3 m'
_symmetry_Int_Tables_number 166
_symmetry_space_group_name_Hall '-R 3 2"'
_cell_length_a 4.1946
_cell_length_b 4.1946
_cell_length_c 20.6640
_cell_angle_alpha 90.00
_cell_angle_beta 90.00
_cell_angle_gamma 120.00
loop_
_atom_site_label
_atom_site_type_symbol
_atom_site_fract_x
_atom_site_fract_y
_atom_site_fract_z
_atom_site_occupancy
Nd1 Nd 0.0000 0.0000 0.2493 1
Ge1 Ge 0.0000 0.0000 0.0000 1
S1 S 0.0000 0.0000 0.5000 1
```

Output
relative energy among the computed polymorphs	18.9	meV/atom
raw formation energy	-1.4448	eV per atom

(9)
VASP calculation (GGA-PBE) on Nd3GeS6 after structural relaxation.

Cell and atoms, written as CIF:
```
data_Nd3GeS6
_symmetry_space_group_name_H-M 'C m c 21'
_symmetry_Int_Tables_number 36
_symmetry_space_group_name_Hall 'C 2c -2'
_cell_length_a 10.997
_cell_length_b 13.709
_cell_length_c 6.782
_cell_angle_alpha 90.00
_cell_angle_beta 90.00
_cell_angle_gamma 90.00
loop_
_atom_site_label
_atom_site_type_symbol
_atom_site_fract_x
_atom_site_fract_y
_atom_site_fract_z
_atom_site_occupancy
Nd1 Nd 0.000 0.101 0.000 1
Nd2 Nd 0.185 0.400 0.921 1
Ge1 Ge 0.000 0.302 0.378 1
S1 S 0.000 0.282 0.742 1
S2 S 0.000 0.463 0.231 1
S3 S 0.161 0.026 0.710 1
S4 S 0.165 0.236 0.205 1
```

Output
raw formation energy	-1.5773	eV per atom

(10)
VASP calculation (GGA-PBE) on Nd6Ge3S14 after structural relaxation.

Cell and atoms, written as CIF:
```
data_Nd6Ge3S14
_symmetry_space_group_name_H-M 'P 3'
_symmetry_Int_Tables_number 143
_symmetry_space_group_name_Hall 'P 3'
_cell_length_a 10.2805
_cell_length_b 10.2805
_cell_length_c 5.8039
_cell_angle_alpha 90.00
_cell_angle_beta 90.00
_cell_angle_gamma 120.00
loop_
_atom_site_label
_atom_site_type_symbol
_atom_site_fract_x
_atom_site_fract_y
_atom_site_fract_z
_atom_site_occupancy
Nd1 Nd 0.0250 0.4592 0.0000 1
Nd2 Nd 0.3091 0.2083 0.4920 1
Ge1 Ge 0.0000 0.0000 0.0749 1
Ge2 Ge 0.3333 0.6667 0.5837 1
Ge3 Ge 0.6667 0.3333 0.7317 1
S1 S 0.0000 0.0000 0.6967 1
S2 S 0.0787 0.2273 0.2331 1
S3 S 0.1847 0.7457 0.7395 1
S4 S 0.3333 0.6667 0.2048 1
S5 S 0.4118 0.2423 0.9728 1
S6 S 0.4991 0.0768 0.4844 1
```

Output
raw formation energy	-1.4724	eV per atom

(11)
VASP calculation (GGA-PBE) on Nd2GeS5 after structural relaxation.

Cell and atoms, written as CIF:
```
data_Nd2GeS5
_symmetry_space_group_name_H-M 'P 1'
_symmetry_Int_Tables_number 1
_symmetry_space_group_name_Hall 'P 1'
_cell_length_a 5.798
_cell_length_b 6.795
_cell_length_c 6.928
_cell_angle_alpha 95.22
_cell_angle_beta 114.72
_cell_angle_gamma 115.24
loop_
_atom_site_label
_atom_site_type_symbol
_atom_site_fract_x
_atom_site_fract_y
_atom_site_fract_z
_atom_site_occupancy
Nd1 Nd 0.000 0.000 0.000 1
Nd2 Nd 0.090 0.641 0.538 1
Ge1 Ge 0.515 0.320 0.769 1
S1 S 0.131 0.319 0.767 1
S2 S 0.375 0.058 0.454 1
S3 S 0.486 0.010 0.951 1
S4 S 0.615 0.631 0.587 1
S5 S 0.951 0.582 0.084 1
```

Output
relative energy among the computed polymorphs	133.6	meV/atom
raw formation energy	-1.2594	eV per atom

(12)
VASP calculation (GGA-PBE) on Nd4GeS2 after structural relaxation.

Cell and atoms, written as CIF:
```
data_Nd4GeS2
_symmetry_space_group_name_H-M 'P b a m'
_symmetry_Int_Tables_number 55
_symmetry_space_group_name_Hall '-P 2 2ab'
_cell_length_a 7.368
_cell_length_b 12.103
_cell_length_c 4.257
_cell_angle_alpha 90.00
_cell_angle_beta 90.00
_cell_angle_gamma 90.00
loop_
_atom_site_label
_atom_site_type_symbol
_atom_site_fract_x
_atom_site_fract_y
_atom_site_fract_z
_atom_site_occupancy
Nd1 Nd 0.123 0.219 0.000 1
Nd2 Nd 0.240 0.454 0.500 1
Ge1 Ge 0.000 0.000 0.000 1
S1 S 0.106 0.691 0.500 1
```

Output
raw formation energy	-1.2940	eV per atom

raw formation energy of number 4 (Nd6GeS5)? -1.8608 eV per atom